Entry 1:
The following is a PBE-GGA calculation of a geometry-optimized Cu2PRh2 structure, from the Alexandria database.

Cell and atoms, written as CIF:
```
data_Cu2PRh2
_cell_length_a 5.908
_cell_length_b 5.908
_cell_length_c 4.129
_cell_angle_alpha 90.00
_cell_angle_beta 90.00
_cell_angle_gamma 90.00
_space_group_name_H-M_alt 'P 4/m b m'
_space_group_IT_number 127
_space_group_name_Hall '-P 4 2ab'
loop_
_atom_site_label
_atom_site_fract_x
_atom_site_fract_y
_atom_site_fract_z
_atom_site_occupancy
Cu1 0.149 0.351 0.000 1
P1 0.000 0.000 0.500 1
Rh1 0.158 0.658 0.500 1
```


Entry 2:
The following is a PBE-GGA calculation of a geometry-optimized Cu2PRh structure, from the Alexandria database.

Cell and atoms, written as CIF:
```
data_Cu2PRh
_cell_length_a 2.959
_cell_length_b 3.281
_cell_length_c 5.296
_cell_angle_alpha 90.00
_cell_angle_beta 90.00
_cell_angle_gamma 90.00
_space_group_name_H-M_alt 'P m m 2'
_space_group_IT_number 25
loop_
_space_group_symop_operation_xyz
'x,y,z'
'-x,-y,z'
'-x,y,z'
'x,-y,z'
loop_
_atom_site_label
_atom_site_fract_x
_atom_site_fract_y
_atom_site_fract_z
_atom_site_occupancy
Cu1 0.000 0.000 0.000 1
Cu2 0.500 0.500 0.210 1
P1 0.000 0.000 0.493 1
Rh1 0.500 0.500 0.699 1
```


Entry 3:
The following is a PBE-GGA calculation of a geometry-optimized CuP2Rh structure, from the Alexandria database.

Cell and atoms, written as CIF:
```
data_CuP2Rh
_cell_length_a 7.472
_cell_length_b 2.945
_cell_length_c 5.073
_cell_angle_alpha 90.00
_cell_angle_beta 102.07
_cell_angle_gamma 90.00
_space_group_name_H-M_alt 'C 1 2/m 1'
_space_group_IT_number 12
loop_
_space_group_symop_operation_xyz
'x,y,z'
'-x,-y,-z'
'-x,y,-z'
'x,-y,z'
'x+1/2,y+1/2,z'
'-x+1/2,-y+1/2,-z'
'-x+1/2,y+1/2,-z'
'x+1/2,-y+1/2,z'
loop_
_atom_site_label
_atom_site_fract_x
_atom_site_fract_y
_atom_site_fract_z
_atom_site_occupancy
Cu1 0.000 0.000 0.000 1
P1 0.243 0.000 0.748 1
Rh1 0.000 0.500 0.500 1
```


Entry 4:
The following is a PBE-GGA calculation of a geometry-optimized Cu2PRh structure, from the Alexandria database.

Cell and atoms, written as CIF:
```
data_Cu2PRh
_cell_length_a 2.938
_cell_length_b 3.543
_cell_length_c 5.214
_cell_angle_alpha 90.00
_cell_angle_beta 106.19
_cell_angle_gamma 90.00
_space_group_name_H-M_alt 'P 1 m 1'
_space_group_IT_number 6
loop_
_space_group_symop_operation_xyz
'x,y,z'
'x,-y,z'
loop_
_atom_site_label
_atom_site_fract_x
_atom_site_fract_y
_atom_site_fract_z
_atom_site_occupancy
Cu1 0.000 0.000 0.000 1
Cu2 0.391 0.500 0.782 1
P1 0.154 0.500 0.306 1
Rh1 0.735 0.000 0.469 1
```


Entry 5:
The following is a PBE-GGA calculation of a geometry-optimized Cu3PRh structure, from the Alexandria database.

Cell and atoms, written as CIF:
```
data_Cu3PRh
_cell_length_a 4.585
_cell_length_b 4.585
_cell_length_c 4.585
_cell_angle_alpha 90.00
_cell_angle_beta 90.00
_cell_angle_gamma 90.00
_space_group_name_H-M_alt 'P m -3 m'
_space_group_IT_number 221
_space_group_name_Hall '-P 4 2 3'
loop_
_atom_site_label
_atom_site_fract_x
_atom_site_fract_y
_atom_site_fract_z
_atom_site_occupancy
Cu1 0.000 0.000 0.500 1
P1 0.500 0.500 0.500 1
Rh1 0.000 0.000 0.000 1
```


Entry 6:
The following is a PBE-GGA calculation of a geometry-optimized Cu3PRh structure, from the Alexandria database.

Cell and atoms, written as CIF:
```
data_Cu3PRh
_cell_length_a 4.232
_cell_length_b 4.232
_cell_length_c 4.232
_cell_angle_alpha 90.00
_cell_angle_beta 90.00
_cell_angle_gamma 90.00
_space_group_name_H-M_alt 'P m -3 m'
_space_group_IT_number 221
_space_group_name_Hall '-P 4 2 3'
loop_
_atom_site_label
_atom_site_fract_x
_atom_site_fract_y
_atom_site_fract_z
_atom_site_occupancy
Cu1 0.000 0.000 0.500 1
P1 0.000 0.000 0.000 1
Rh1 0.500 0.500 0.500 1
```


Entry 7:
The following is a PBE-GGA calculation of a geometry-optimized CuPRh2 structure, from the Alexandria database.

Cell and atoms, written as CIF:
```
data_CuPRh2
_cell_length_a 2.8784
_cell_length_b 2.8784
_cell_length_c 22.9223
_cell_angle_alpha 90.00
_cell_angle_beta 90.00
_cell_angle_gamma 120.00
_space_group_name_H-M_alt 'R -3 m'
_space_group_IT_number 166
_space_group_name_Hall '-R 3 2"'
loop_
_atom_site_label
_atom_site_fract_x
_atom_site_fract_y
_atom_site_fract_z
_atom_site_occupancy
Cu1 0.0000 0.0000 0.0000 1
P1 0.0000 0.0000 0.5000 1
Rh1 0.0000 0.0000 0.2407 1
```


Entry 8:
The following is a PBE-GGA calculation of a geometry-optimized CuPRh2 structure, from the Alexandria database.

Cell and atoms, written as CIF:
```
data_CuPRh2
_cell_length_a 8.978
_cell_length_b 2.842
_cell_length_c 4.540
_cell_angle_alpha 90.00
_cell_angle_beta 112.05
_cell_angle_gamma 90.00
_space_group_name_H-M_alt 'C 1 m 1'
_space_group_IT_number 8
loop_
_space_group_symop_operation_xyz
'x,y,z'
'x,-y,z'
'x+1/2,y+1/2,z'
'x+1/2,-y+1/2,z'
loop_
_atom_site_label
_atom_site_fract_x
_atom_site_fract_y
_atom_site_fract_z
_atom_site_occupancy
Cu1 0.000 0.000 0.000 1
P1 0.287 0.000 0.624 1
Rh1 0.066 0.500 0.563 1
Rh2 0.274 0.500 0.208 1
```


Entry 9:
The following is a PBE-GGA calculation of a geometry-optimized CuPRh2 structure, from the Alexandria database.

Cell and atoms, written as CIF:
```
data_CuPRh2
_cell_length_a 2.775
_cell_length_b 4.721
_cell_length_c 8.481
_cell_angle_alpha 90.00
_cell_angle_beta 90.00
_cell_angle_gamma 90.00
_space_group_name_H-M_alt 'C m m 2'
_space_group_IT_number 35
loop_
_space_group_symop_operation_xyz
'x,y,z'
'-x,-y,z'
'-x,y,z'
'x,-y,z'
'x+1/2,y+1/2,z'
'-x+1/2,-y+1/2,z'
'-x+1/2,y+1/2,z'
'x+1/2,-y+1/2,z'
loop_
_atom_site_label
_atom_site_fract_x
_atom_site_fract_y
_atom_site_fract_z
_atom_site_occupancy
Cu1 0.000 0.000 0.000 1
P1 0.000 0.500 0.241 1
Rh1 0.000 0.000 0.465 1
Rh2 0.000 0.500 0.744 1
```


Entry 10:
The following is a PBE-GGA calculation of a geometry-optimized CuPRh4 structure, from the Alexandria database.

Cell and atoms, written as CIF:
```
data_CuPRh4
_cell_length_a 7.204
_cell_length_b 7.204
_cell_length_c 7.204
_cell_angle_alpha 90.00
_cell_angle_beta 90.00
_cell_angle_gamma 90.00
_space_group_name_H-M_alt 'F -4 3 m'
_space_group_IT_number 216
_space_group_name_Hall 'F -4 2 3'
loop_
_atom_site_label
_atom_site_fract_x
_atom_site_fract_y
_atom_site_fract_z
_atom_site_occupancy
Cu1 0.000 0.000 0.000 1
P1 0.250 0.250 0.250 1
Rh1 0.125 0.125 0.625 1
```


Entry 11:
The following is a PBE-GGA calculation of a geometry-optimized CuP2Rh structure, from the Alexandria database.

Cell and atoms, written as CIF:
```
data_CuP2Rh
_cell_length_a 3.095
_cell_length_b 4.275
_cell_length_c 8.059
_cell_angle_alpha 90.00
_cell_angle_beta 90.00
_cell_angle_gamma 90.00
_space_group_name_H-M_alt 'I m m 2'
_space_group_IT_number 44
loop_
_space_group_symop_operation_xyz
'x,y,z'
'-x,-y,z'
'-x,y,z'
'x,-y,z'
'x+1/2,y+1/2,z+1/2'
'-x+1/2,-y+1/2,z+1/2'
'-x+1/2,y+1/2,z+1/2'
'x+1/2,-y+1/2,z+1/2'
loop_
_atom_site_label
_atom_site_fract_x
_atom_site_fract_y
_atom_site_fract_z
_atom_site_occupancy
Cu1 0.000 0.000 0.000 1
P1 0.000 0.000 0.467 1
P2 0.000 0.500 0.742 1
Rh1 0.000 0.500 0.210 1
```


Entry 12:
The following is a PBE-GGA calculation of a geometry-optimized CuPRh2 structure, from the Alexandria database.

Cell and atoms, written as CIF:
```
data_CuPRh2
_cell_length_a 2.907
_cell_length_b 2.907
_cell_length_c 6.213
_cell_angle_alpha 90.00
_cell_angle_beta 90.00
_cell_angle_gamma 90.00
_space_group_name_H-M_alt 'P 4/m m m'
_space_group_IT_number 123
_space_group_name_Hall '-P 4 2'
loop_
_atom_site_label
_atom_site_fract_x
_atom_site_fract_y
_atom_site_fract_z
_atom_site_occupancy
Cu1 0.000 0.000 0.000 1
P1 0.000 0.000 0.500 1
Rh1 0.500 0.500 0.276 1
```


Entry 13:
The following is a PBE-GGA calculation of a geometry-optimized CuPRh3 structure, from the Alexandria database.

Cell and atoms, written as CIF:
```
data_CuPRh3
_cell_length_a 4.345
_cell_length_b 4.345
_cell_length_c 4.345
_cell_angle_alpha 90.00
_cell_angle_beta 90.00
_cell_angle_gamma 90.00
_space_group_name_H-M_alt 'P m -3 m'
_space_group_IT_number 221
_space_group_name_Hall '-P 4 2 3'
loop_
_atom_site_label
_atom_site_fract_x
_atom_site_fract_y
_atom_site_fract_z
_atom_site_occupancy
Cu1 0.000 0.000 0.000 1
P1 0.500 0.500 0.500 1
Rh1 0.000 0.500 0.500 1
```


Entry 14:
The following is a PBE-GGA calculation of a geometry-optimized CuP2Rh structure, from the Alexandria database.

Cell and atoms, written as CIF:
```
data_CuP2Rh
_cell_length_a 5.203
_cell_length_b 5.203
_cell_length_c 10.680
_cell_angle_alpha 90.00
_cell_angle_beta 90.00
_cell_angle_gamma 90.00
_space_group_name_H-M_alt 'I -4 2 d'
_space_group_IT_number 122
_space_group_name_Hall 'I -4 2bw'
loop_
_atom_site_label
_atom_site_fract_x
_atom_site_fract_y
_atom_site_fract_z
_atom_site_occupancy
Cu1 0.000 0.000 0.000 1
P1 0.246 0.250 0.625 1
Rh1 0.000 0.000 0.500 1
```


Entry 15:
The following is a PBE-GGA calculation of a geometry-optimized CuPRh2 structure, from the Alexandria database.

Cell and atoms, written as CIF:
```
data_CuPRh2
_cell_length_a 2.971
_cell_length_b 2.971
_cell_length_c 6.047
_cell_angle_alpha 90.00
_cell_angle_beta 90.00
_cell_angle_gamma 90.00
_space_group_name_H-M_alt 'P 4 m m'
_space_group_IT_number 99
loop_
_space_group_symop_operation_xyz
'x,y,z'
'-y,x,z'
'-x,-y,z'
'y,-x,z'
'-x,y,z'
'y,x,z'
'x,-y,z'
'-y,-x,z'
loop_
_atom_site_label
_atom_site_fract_x
_atom_site_fract_y
_atom_site_fract_z
_atom_site_occupancy
Cu1 0.000 0.000 0.000 1
P1 0.500 0.500 0.233 1
Rh1 0.000 0.000 0.439 1
Rh2 0.500 0.500 0.752 1
```


Entry 16:
The following is a PBE-GGA calculation of a geometry-optimized CuPRh2 structure, from the Alexandria database.

Cell and atoms, written as CIF:
```
data_CuPRh2
_cell_length_a 3.574
_cell_length_b 4.319
_cell_length_c 6.934
_cell_angle_alpha 90.00
_cell_angle_beta 90.00
_cell_angle_gamma 90.00
_space_group_name_H-M_alt 'I m m m'
_space_group_IT_number 71
_space_group_name_Hall '-I 2 2'
loop_
_atom_site_label
_atom_site_fract_x
_atom_site_fract_y
_atom_site_fract_z
_atom_site_occupancy
Cu1 0.000 0.000 0.000 1
P1 0.000 0.000 0.500 1
Rh1 0.000 0.500 0.213 1
```


Entry 17:
The following is a PBE-GGA calculation of a geometry-optimized CuP2Rh structure, from the Alexandria database.

Cell and atoms, written as CIF:
```
data_CuP2Rh
_cell_length_a 3.803
_cell_length_b 3.799
_cell_length_c 4.367
_cell_angle_alpha 90.00
_cell_angle_beta 98.98
_cell_angle_gamma 90.00
_space_group_name_H-M_alt 'P 1 2/m 1'
_space_group_IT_number 10
loop_
_space_group_symop_operation_xyz
'x,y,z'
'-x,-y,-z'
'-x,y,-z'
'x,-y,z'
loop_
_atom_site_label
_atom_site_fract_x
_atom_site_fract_y
_atom_site_fract_z
_atom_site_occupancy
Cu1 0.000 0.000 0.000 1
P1 0.350 0.500 0.188 1
Rh1 0.500 0.000 0.500 1
```


Entry 18:
The following is a PBE-GGA calculation of a geometry-optimized CuP2Rh structure, from the Alexandria database.

Cell and atoms, written as CIF:
```
data_CuP2Rh
_cell_length_a 2.9970
_cell_length_b 2.9970
_cell_length_c 21.2945
_cell_angle_alpha 90.00
_cell_angle_beta 90.00
_cell_angle_gamma 120.00
_space_group_name_H-M_alt 'R -3 m'
_space_group_IT_number 166
_space_group_name_Hall '-R 3 2"'
loop_
_atom_site_label
_atom_site_fract_x
_atom_site_fract_y
_atom_site_fract_z
_atom_site_occupancy
Cu1 0.0000 0.0000 0.0000 1
P1 0.0000 0.0000 0.2503 1
Rh1 0.0000 0.0000 0.5000 1
```


Entry 19:
The following is a PBE-GGA calculation of a geometry-optimized CuPRh2 structure, from the Alexandria database.

Cell and atoms, written as CIF:
```
data_CuPRh2
_cell_length_a 2.919
_cell_length_b 3.508
_cell_length_c 5.504
_cell_angle_alpha 90.00
_cell_angle_beta 103.94
_cell_angle_gamma 90.00
_space_group_name_H-M_alt 'P 1 2/m 1'
_space_group_IT_number 10
loop_
_space_group_symop_operation_xyz
'x,y,z'
'-x,-y,-z'
'-x,y,-z'
'x,-y,z'
loop_
_atom_site_label
_atom_site_fract_x
_atom_site_fract_y
_atom_site_fract_z
_atom_site_occupancy
Cu1 0.000 0.000 0.000 1
P1 0.000 0.000 0.500 1
Rh1 0.363 0.500 0.732 1
```


Entry 20:
The following is a PBE-GGA calculation of a geometry-optimized Cu2PRh structure, from the Alexandria database.

Cell and atoms, written as CIF:
```
data_Cu2PRh
_cell_length_a 2.898
_cell_length_b 3.996
_cell_length_c 4.698
_cell_angle_alpha 90.00
_cell_angle_beta 106.92
_cell_angle_gamma 90.00
_space_group_name_H-M_alt 'P 1 2/m 1'
_space_group_IT_number 10
loop_
_space_group_symop_operation_xyz
'x,y,z'
'-x,-y,-z'
'-x,y,-z'
'x,-y,z'
loop_
_atom_site_label
_atom_site_fract_x
_atom_site_fract_y
_atom_site_fract_z
_atom_site_occupancy
Cu1 0.127 0.000 0.268 1
P1 0.000 0.500 0.500 1
Rh1 0.500 0.500 0.000 1
```


Number 1: DOS at the Fermi energy 0.50 states/eV/atom, formation energy -4.20 kcal/mol of atoms. Number 2: DOS at the Fermi energy 0.38 states/eV/atom, formation energy -3.17 kcal/mol of atoms. Number 3: DOS at the Fermi energy 0.46 states/eV/atom, formation energy -1.61 kcal/mol of atoms. Number 4: DOS at the Fermi energy 0.41 states/eV/atom, formation energy -3.55 kcal/mol of atoms. Number 5: DOS at the Fermi energy 1.01 states/eV/atom, formation energy 30.46 kcal/mol of atoms. Number 6: DOS at the Fermi energy 0.92 states/eV/atom, formation energy 9.58 kcal/mol of atoms. Number 7: DOS at the Fermi energy 1.07 states/eV/atom, formation energy -4.85 kcal/mol of atoms. Number 8: DOS at the Fermi energy 0.62 states/eV/atom, formation energy -4.75 kcal/mol of atoms. Number 9: DOS at the Fermi energy 1.17 states/eV/atom, formation energy 3.67 kcal/mol of atoms. Number 10: DOS at the Fermi energy 1.91 states/eV/atom, formation energy 12.82 kcal/mol of atoms. Number 11: DOS at the Fermi energy 0.46 states/eV/atom, formation energy 1.24 kcal/mol of atoms. Number 12: DOS at the Fermi energy 0.61 states/eV/atom, formation energy -6.10 kcal/mol of atoms. Number 13: DOS at the Fermi energy 1.30 states/eV/atom, formation energy 3.60 kcal/mol of atoms. Number 14: DOS at the Fermi energy 0.46 states/eV/atom, formation energy -2.01 kcal/mol of atoms. Number 15: DOS at the Fermi energy 1.48 states/eV/atom, formation energy -1.11 kcal/mol of atoms. Number 16: DOS at the Fermi energy 0.58 states/eV/atom, formation energy -6.51 kcal/mol of atoms. Number 17: DOS at the Fermi energy 0.31 states/eV/atom, formation energy -2.72 kcal/mol of atoms. Number 18: DOS at the Fermi energy 0.48 states/eV/atom, formation energy -1.58 kcal/mol of atoms. Number 19: DOS at the Fermi energy 0.63 states/eV/atom, formation energy -5.54 kcal/mol of atoms. Number 20: DOS at the Fermi energy 0.59 states/eV/atom, formation energy -1.19 kcal/mol of atoms.